Model i:
CaHPtAu2 | Alexandria via LeMat-Bulk | PBE-GGA | optimized geometry; space-group type = P4/mmm
1.0
5.242 0.000 0.000
0.000 5.242 0.000
0.000 0.000 3.527
H Ca Au Pt
1 1 2 1
Direct
0.000 0.000 0.500
0.000 0.000 0.000
0.000 0.500 0.000
0.500 0.000 0.000
0.500 0.500 0.500

=====

Model ii:
CaHPtAu2 | Alexandria via LeMat-Bulk | PBE-GGA | optimized geometry; space-group type = P4/mmm
1.0
-4.113 -1.188 1.467
0.872 -4.316 -1.048
1.448 -0.580 3.591
H Ca Au Pt
1 1 2 1
Direct
0.000 0.000 0.000
0.500 0.500 0.500
0.000 0.500 0.000
0.500 0.000 0.000
0.000 0.000 0.500

=====

Most stable: model ii

=====

Model i:
Ca2Hg3Au2 | Alexandria via LeMat-Bulk | PBE-GGA | optimized geometry; space-group type = C2/m
1.0
-2.223 -3.307 -1.580
4.862 0.939 -2.991
3.294 -4.604 5.001
Ca Hg Au
2 3 2
Direct
0.614 0.228 0.329
0.386 0.772 0.671
0.296 0.591 0.143
0.000 0.000 0.000
0.704 0.409 0.857
0.100 0.201 0.628
0.900 0.799 0.372

=====

Model ii:
Ca2Hg3Au2 | Alexandria via LeMat-Bulk | PBE-GGA | optimized geometry; space-group type = Cmmm
1.0
-3.725 -0.231 0.653
0.718 -3.200 2.962
0.519 8.788 6.071
Ca Hg Au
2 3 2
Direct
0.000 0.837 0.675
0.000 0.163 0.325
0.500 0.572 0.143
0.500 0.428 0.857
0.000 0.000 0.000
0.500 0.709 0.418
0.500 0.291 0.582

=====

Most stable: model ii

=====

Model i:
CaHg4Au | Alexandria via LeMat-Bulk | PBE-GGA | optimized geometry; space-group type = Cmc2_1
1.0
-2.547 2.365 3.724
-6.043 -1.169 -3.390
0.409 -8.523 2.208
Ca Hg Au
2 8 2
Direct
0.832 0.939 0.663
0.168 0.439 0.337
0.982 0.277 0.965
0.018 0.777 0.035
0.465 0.995 0.931
0.535 0.495 0.069
0.802 0.405 0.605
0.198 0.905 0.395
0.638 0.120 0.277
0.362 0.620 0.723
0.682 0.698 0.365
0.318 0.198 0.635

=====

Model ii:
CaHg4Au | Alexandria via LeMat-Bulk | PBE-GGA | optimized geometry; space-group type = P2_1/m
1.0
6.557 1.187 0.000
-1.763 5.306 0.000
0.000 0.000 9.206
Ca Hg Au
2 8 2
Direct
0.832 0.050 0.750
0.168 0.950 0.250
0.546 0.497 0.750
0.454 0.503 0.250
0.349 0.956 0.750
0.651 0.044 0.250
0.814 0.697 0.024
0.186 0.303 0.524
0.814 0.697 0.476
0.186 0.303 0.976
0.009 0.576 0.750
0.991 0.424 0.250

=====

Model iii:
CaHg4Au | Alexandria via LeMat-Bulk | PBE-GGA | optimized geometry; space-group type = F-43m
1.0
0.000 4.221 4.221
4.221 0.000 4.221
4.221 4.221 0.000
Ca Hg Au
1 4 1
Direct
0.000 0.000 0.000
0.874 0.375 0.375
0.375 0.375 0.874
0.375 0.874 0.375
0.375 0.375 0.375
0.750 0.750 0.750

=====

Most stable: model i

=====

Model i:
Ca3Hg4Au4 | Alexandria via LeMat-Bulk | PBE-GGA | optimized geometry; space-group type = P-1
1.0
3.607 0.003 0.401
-0.078 4.722 0.724
0.043 -0.089 15.570
Ca Hg Au
3 4 4
Direct
0.140 0.639 0.719
0.860 0.361 0.281
0.000 0.000 0.000
0.591 0.090 0.817
0.265 0.266 0.470
0.735 0.734 0.530
0.409 0.910 0.183
0.544 0.546 0.910
0.456 0.454 0.090
0.318 0.817 0.365
0.682 0.183 0.635

=====

Model ii:
Ca3Hg4Au4 | Alexandria via LeMat-Bulk | PBE-GGA | optimized geometry; space-group type = Immm
1.0
-0.488 -0.967 3.959
1.451 -7.739 -1.711
7.518 5.569 0.158
Ca Hg Au
3 4 4
Direct
0.118 0.118 0.236
0.882 0.882 0.764
0.000 0.500 0.000
0.338 0.145 0.677
0.662 0.468 0.323
0.662 0.855 0.323
0.338 0.532 0.677
0.243 0.743 0.486
0.757 0.257 0.514
0.500 0.820 0.000
0.500 0.180 0.000

=====

Most stable: model ii

=====

Model i:
Ca2Hg6Au | Alexandria via LeMat-Bulk | PBE-GGA | optimized geometry; space-group type = Cmmm
1.0
-2.754 2.454 0.354
-4.242 -3.910 -5.904
-1.211 -2.561 8.337
Ca Hg Au
2 6 1
Direct
0.500 0.700 0.400
0.500 0.300 0.600
0.000 0.342 0.305
0.000 0.037 0.695
0.000 0.658 0.695
0.500 0.316 0.000
0.000 0.963 0.305
0.500 0.684 0.000
0.000 0.000 0.000

=====

Model ii:
Ca2Hg6Au | Alexandria via LeMat-Bulk | PBE-GGA | optimized geometry; space-group type = C2/m
1.0
-3.987 1.756 -0.227
0.759 0.725 -7.727
-0.861 -7.126 1.913
Ca Hg Au
2 6 1
Direct
0.933 0.180 0.866
0.067 0.820 0.134
0.394 0.828 0.789
0.606 0.172 0.211
0.728 0.812 0.457
0.157 0.491 0.314
0.272 0.188 0.543
0.843 0.509 0.686
0.500 0.500 0.000

=====

Most stable: model ii

=====

Model i:
Ca3HgAu4 | Alexandria via LeMat-Bulk | PBE-GGA | optimized geometry; space-group type = Immm
1.0
3.908 0.000 0.000
0.000 7.238 0.000
-1.954 -3.619 7.350
Ca Hg Au
3 1 4
Direct
0.186 0.186 0.372
0.814 0.814 0.628
0.000 0.500 0.000
0.500 0.000 0.000
0.369 0.174 0.737
0.631 0.826 0.263
0.631 0.437 0.263
0.369 0.563 0.737

=====

Model ii:
Ca3HgAu4 | Alexandria via LeMat-Bulk | PBE-GGA | optimized geometry; space-group type = P4/mmm
1.0
5.010 0.000 0.000
0.000 7.412 0.000
0.000 0.000 10.022
Ca Au Hg
6 8 2
Direct
0.000 0.000 0.000
0.000 0.000 0.500
0.500 0.000 0.750
0.500 0.000 0.250
0.500 0.500 0.750
0.500 0.500 0.250
0.500 0.755 0.000
0.500 0.755 0.500
0.500 0.245 0.000
0.500 0.245 0.500
0.000 0.755 0.750
0.000 0.755 0.250
0.000 0.245 0.250
0.000 0.245 0.750
0.000 0.500 0.000
0.000 0.500 0.500

=====

Most stable: model ii

=====

Model i:
Ca3Hg2Au | Alexandria via LeMat-Bulk | PBE-GGA | optimized geometry; space-group type = P4/mmm
1.0
3.706 0.000 0.000
0.000 3.706 0.000
0.000 0.000 11.400
Ca Hg Au
3 2 1
Direct
0.000 0.000 0.000
0.000 0.000 0.657
0.000 0.000 0.343
0.500 0.500 0.830
0.500 0.500 0.170
0.500 0.500 0.500

=====

Model ii:
Ca3Hg2Au | Alexandria via LeMat-Bulk | PBE-GGA | optimized geometry; space-group type = P-3m1
1.0
5.281 0.000 0.000
-2.640 4.573 0.000
0.000 0.000 6.481
Ca Hg Au
3 2 1
Direct
0.000 0.000 0.500
0.667 0.333 0.844
0.333 0.667 0.156
0.667 0.333 0.342
0.333 0.667 0.658
0.000 0.000 0.000

=====

Most stable: model i

=====

Model i:
Ca7Hg2Au2 | Alexandria via LeMat-Bulk | PBE-GGA | optimized geometry; space-group type = Cmmm
1.0
7.077 -0.003 -0.805
0.003 7.395 0.003
-1.245 -0.003 7.013
Ca Hg Au
7 2 2
Direct
0.000 0.266 0.500
0.500 0.734 0.000
0.000 0.734 0.500
0.500 0.266 0.000
0.000 0.000 0.000
0.500 0.749 0.500
0.500 0.251 0.500
0.821 0.500 0.821
0.179 0.500 0.179
0.713 0.000 0.287
0.287 0.000 0.713

=====

Model ii:
Ca7Hg2Au2 | Alexandria via LeMat-Bulk | PBE-GGA | optimized geometry; space-group type = Imm2
1.0
4.085 0.000 0.876
1.108 8.448 4.798
0.040 -0.080 9.778
Ca Hg Au
7 2 2
Direct
0.815 0.080 0.289
0.858 0.409 0.875
0.500 0.015 0.985
0.617 0.483 0.282
0.383 0.718 0.517
0.185 0.711 0.920
0.142 0.125 0.591
0.000 0.770 0.230
0.500 0.340 0.660
0.741 0.860 0.658
0.259 0.342 0.140

=====

Most stable: model ii

=====

Model i:
CaHo2Au | Alexandria via LeMat-Bulk | PBE-GGA | optimized geometry; space-group type = P4/mmm
1.0
-3.335 0.759 -1.144
-1.368 -2.094 2.598
-0.303 7.307 5.729
Ca Au Ho
1 1 2
Direct
0.500 0.500 0.500
0.500 0.500 0.000
0.000 0.000 0.816
0.000 0.000 0.184

=====

Model ii:
CaHo2Au | Alexandria via LeMat-Bulk | PBE-GGA | optimized geometry; space-group type = R3m
1.0
-0.832 1.435 -3.489
-3.628 -0.116 -1.321
-3.261 9.357 2.487
Ca Ho Au
1 2 1
Direct
0.501 0.501 0.497
0.062 0.062 0.813
0.270 0.270 0.189
0.666 0.666 0.002

=====

Most stable: model i

=====

Model i:
CaHoAu | Alexandria via LeMat-Bulk | PBE-GGA | optimized geometry; space-group type = P3m1
1.0
4.258 0.000 0.000
0.000 4.880 0.000
0.000 -2.440 4.226
Ca Au Ho
1 1 1
Direct
0.635 0.667 0.333
0.236 0.333 0.667
0.129 0.000 0.000

=====

Model ii:
CaHoAu | Alexandria via LeMat-Bulk | PBE-GGA | optimized geometry; space-group type = F-43m
1.0
4.999 0.000 0.000
2.500 4.330 0.000
2.500 1.443 4.082
Ca Au Ho
1 1 1
Direct
0.500 0.500 0.500
0.250 0.250 0.250
0.000 0.000 0.000

=====

Most stable: model ii

=====

Model i:
CaHoInAu | Alexandria via LeMat-Bulk | PBE-GGA | optimized geometry; space-group type = F-43m
1.0
-4.866 -1.458 1.244
-0.963 -4.933 1.446
-1.216 -1.078 4.971
Ca Au Ho In
1 1 1 1
Direct
0.750 0.750 0.750
0.000 0.000 0.000
0.250 0.250 0.250
0.500 0.500 0.500

=====

Model ii:
CaHoInAu | Alexandria via LeMat-Bulk | PBE-GGA | optimized geometry; space-group type = P4mm
1.0
3.689 0.000 0.000
0.000 3.689 0.000
0.000 0.000 7.549
Ca Ho In Au
1 1 1 1
Direct
0.000 0.000 0.871
0.000 0.000 0.333
0.500 0.500 0.593
0.500 0.500 0.131

=====

Most stable: model ii

=====

Model i:
CaHoPdAu | Alexandria via LeMat-Bulk | PBE-GGA | optimized geometry; space-group type = F-43m
1.0
-4.055 0.219 -2.948
-2.744 -4.124 -0.803
-4.584 -0.393 2.004
Ca Au Ho Pd
1 1 1 1
Direct
0.250 0.250 0.250
0.000 0.000 0.000
0.750 0.750 0.750
0.500 0.500 0.500

=====

Model ii:
CaHoPdAu | Alexandria via LeMat-Bulk | PBE-GGA | optimized geometry; space-group type = Amm2
1.0
3.830 0.000 0.000
0.000 4.515 0.000
-1.915 0.000 5.467
Ca Ho Pd Au
1 1 1 1
Direct
0.142 0.000 0.284
0.864 0.500 0.728
0.412 0.000 0.824
0.582 0.500 0.163

=====

Most stable: model ii